Material: Ho3Al2Tc3C
Method: DFT, PBE
State: relaxed

Unit cell a=7.3153 b=7.3153 c=3.4264 alpha=90.00 beta=90.00 gamma=120.00
Closest atoms and distances in Å follow each position.
Space group P-62m (No. 189)
Symmetry-distinct sites (fractional):
Ho 0.0000 0.6432 0.0000 x3  1 C 2.61, 4 Tc 2.86, 4 Al 2.91
Al 0.3333 0.6667 0.5000 x2  3 Tc 2.91, 6 Ho 2.91
Tc 0.0000 0.2269 0.5000 x3  2 C 2.39
C 0.0000 0.0000 0.0000 x1  6 Tc 2.39, 3 Ho 2.61

Properties
Energy = -6.8807 eV/atom
Total magnetic moment = 0.00 μB per cell
ΔH_f (0 K) = -0.043 eV per atom
Crystal system = hexagonal
ρ = 8.938 g/cm³



Material: LiYSi2
Method: DFT, PBE
State: relaxed

Unit cell a=3.3610 b=3.3818 c=6.5632 alpha=90.00 beta=90.00 gamma=90.00
Closest atoms and distances in Å follow each position.
Space group Pmm2 (No. 25)
Symmetry-distinct sites (fractional):
Li 0.0000 0.0000 0.0000 x1  5 Si 2.46-2.75
Y 0.5000 0.5000 0.3393 x1  5 Si 2.97-3.04, 4 Li 3.26
Si 0.0000 0.0000 0.6258 x1  1 Li 2.46, 4 Si 2.62
Si 0.5000 0.5000 0.7921 x1  4 Si 2.62, 4 Li 2.75

Properties
Energy = -4.9006 eV/atom
Total magnetic moment = 0.00 μB per cell
Raw formation energy = -0.095 eV per atom
Crystal system = orthorhombic
ρ = 3.384 g/cm³



Material: Sr3SmPd8
Method: DFT, PBE
State: relaxed

Unit cell a=5.5970 b=5.5970 c=27.2222 alpha=90.00 beta=90.00 gamma=120.00
Closest atoms and distances in Å follow each position.
Space group R3m (No. 160, hexagonal axes)
Symmetry-distinct sites (fractional):
Sr 0.0000 0.0000 0.0000 x3  12 Pd 3.23-3.29, 1 Sr 3.39, 3 Sm 3.44
Sr 0.0000 0.0000 0.1246 x3  12 Pd 3.28-3.32, 4 Sr 3.39-3.41
Sr 0.0000 0.0000 0.4976 x3  12 Pd 3.27-3.32, 3 Sr 3.41, 1 Sm 3.44
Sm 0.0000 0.0000 0.6238 x3  12 Pd 3.20-3.28, 4 Sr 3.44
Pd 0.0000 0.0000 0.3110 x3  6 Pd 2.74-2.76
Pd 0.0000 0.0000 0.8114 x3  6 Pd 2.82
Pd 0.0026 0.5013 0.5633 x9  6 Pd 2.74-2.82
Pd 0.1684 0.3367 0.3925 x9  6 Pd 2.76-2.83

Properties
Energy = -4.9317 eV/atom
Total magnetic moment = 0.00 μB per cell
ΔH_f (0 K) = -0.656 eV per atom
Crystal system = trigonal
ρ = 8.530 g/cm³